Record 1
## MnS4I (PBE)

Data for a geometry-optimized MnS4I structure.

The space group is C2/c (No. 15) and the conventional cell measures 7.8379, 14.0400 and 6.1849 Å, with angles of 90.00, 113.22 and 90.00 degrees. The distinct sites, in fractional coordinates, are Mn at (0.0000, 0.0009, 0.2500), S at (0.0468, 0.1223, 0.5253), S at (0.2087, 0.0618, 0.1032) and I at (0.0000, 0.3662, 0.2500).

The calculation puts the total magnetization at 0.000 μB per atom. For the energy relative to the elements, uncorrected, the calculation gives -0.155 eV per atom.

Record 2
## PaPtS2 (PBE)

Data for a geometry-optimized PaPtS2 structure.

The space group is R-3m (No. 166, hexagonal axes) and the conventional cell measures 4.1546, 4.1546 and 21.1185 Å, with angles of 90.00, 90.00 and 120.00 degrees. The distinct sites, in fractional coordinates, are Pa at (0.0000, 0.0000, 0.0000), Pt at (0.0000, 0.0000, 0.5000) and S at (0.0000, 0.0000, 0.3947).

The calculation puts the total magnetization at 0.244 μB per atom. The value obtained for the density of states at the Fermi level is 1.10 states/eV per atom. For the energy relative to the elements, uncorrected, the calculation gives -0.829 eV per atom.

Record 3
## CsRbCaCu2 (PBE)

Data for a geometry-optimized CsRbCaCu2 structure.

The space group is P4/mmm (No. 123) and the conventional cell measures 6.3778, 6.3778 and 6.9686 Å, with angles of 90.00, 90.00 and 90.00 degrees. The distinct sites, in fractional coordinates, are Cs at (0.0000, 0.0000, 0.0000), Rb at (0.5000, 0.5000, 0.5000), Ca at (0.5000, 0.5000, 0.0000) and Cu at (0.0000, 0.5000, 0.5000).

The calculation puts the total magnetization at 0.000 μB per atom. The value obtained for the density of states at the Fermi level is 0.07 states/eV per atom. The formation energy is 926 meV/atom.

Record 4
## MgBeRh2 (PBE)

Data for a geometry-optimized MgBeRh2 structure.

The space group is Pm (No. 6) and the conventional cell measures 2.8143, 4.1460 and 4.8887 Å, with angles of 90.00, 106.68 and 90.00 degrees. The distinct sites, in fractional coordinates, are Mg at (0.0000, 0.0000, 0.0000), Be at (0.3766, 0.5000, 0.7496), Rh at (0.2685, 0.0000, 0.5373) and Rh at (0.6404, 0.5000, 0.2814).

The calculation puts the total magnetization at 0.000 μB per atom. The energy above the lowest structure with this stoichiometry is 261 meV per atom. The value obtained for the density of states at the Fermi level is 0.86 states/eV per atom. The formation energy is -227 meV/atom.

Record 5
## LiTl4Re (PBE)

Data for a geometry-optimized LiTl4Re structure.

The space group is F-43m (No. 216) and the conventional cell measures 8.7430, 8.7430 and 8.7430 Å, with angles of 90.00, 90.00 and 90.00 degrees. The distinct sites, in fractional coordinates, are Li at (0.0000, 0.0000, 0.0000), Tl at (0.1246, 0.1246, 0.3754) and Re at (0.2500, 0.2500, 0.7500).

The calculation puts the total magnetization at 0.593 μB per atom. The value obtained for the density of states at the Fermi level is 0.79 states/eV per atom. The formation energy is 1014 meV/atom.

Record 6
## LaScTa2 (PBE)

Data for a geometry-optimized LaScTa2 structure.

The space group is Pm (No. 6) and the conventional cell measures 3.0857, 4.7472 and 6.4451 Å, with angles of 90.00, 102.49 and 90.00 degrees. The distinct sites, in fractional coordinates, are La at (0.0000, 0.0000, 0.0000), Sc at (0.5996, 0.5000, 0.3184), Ta at (0.1210, 0.0000, 0.5284) and Ta at (0.4346, 0.5000, 0.7371).

The calculation puts the total magnetization at 0.000 μB per atom. The energy above the lowest structure with this stoichiometry is 133 meV per atom. The value obtained for the density of states at the Fermi level is 1.14 states/eV per atom. The formation energy is 340 meV/atom.

Record 7
## Ta2VSbH (PBE)

Data for a geometry-optimized Ta2VSbH structure.

The space group is P4/mmm (No. 123) and the conventional cell measures 4.1538, 4.1538 and 4.1767 Å, with angles of 90.00, 90.00 and 90.00 degrees. The distinct sites, in fractional coordinates, are Ta at (0.0000, 0.5000, 0.0000), V at (0.0000, 0.0000, 0.5000), Sb at (0.5000, 0.5000, 0.5000) and H at (0.0000, 0.0000, 0.0000).

The calculation puts the total magnetization at 0.069 μB per atom. The value obtained for the calculated total energy is -8.052 eV per atom. The value obtained for the density of states at the Fermi level is 0.60 states/eV per atom.

Record 8
## Cd3CoCl8 (PBE)

Data for a geometry-optimized Cd3CoCl8 structure.

The space group is C2/m (No. 12) and the conventional cell measures 13.2735, 7.6658 and 7.7962 Å, with angles of 90.00, 125.16 and 90.00 degrees. The distinct sites, in fractional coordinates, are Cd at (0.0000, 0.0000, 0.0000), Cd at (0.2500, 0.2500, 0.0000), Co at (0.0000, 0.5000, 0.0000), Cl at (0.0045, 0.2672, 0.7839), Cl at (0.2285, 0.5000, 0.2163) and Cl at (0.2441, 0.0000, 0.2291).

The calculation puts the total magnetization at 0.250 μB per atom. The value obtained for the density of states at the Fermi level is 0.04 states/eV per atom. For the energy relative to the elements, uncorrected, the calculation gives -0.937 eV per atom.

> Which formula does entry 7 have?

Ta2VSbH

> Which value of total magnetization does entry 2 give?

0.244 μB per atom